The following is a DFT calculation (GGA-PBE) of BeCrNi2 after structural relaxation.

a = 2.482 Å, b = 2.482 Å, c = 6.492 Å
α = 90.00°, β = 90.00°, γ = 90.00°
Space group P4/mmm (No. 123)
One atom of each set of equivalent atoms:
Be (0.000, 0.000, 0.000) x1
Cr (0.000, 0.000, 0.500) x1
Ni (0.500, 0.500, 0.217) x2

Values from the calculation:
ΔE_f: -0.212 eV/atom
Magnetization: 0.00 Bohr magnetons per cell
Uncorrected energy: -6.440 eV per atom
Crystal system: tetragonal